TaNbRu2 | Alexandria via LeMat-Bulk | PBE-GGA | optimized geometry; calculated formation energy = -0.251 eV/atom; space-group type = P4/mmm; M_tot = 0.0 μB/cell
1.0
4.326 0.000 0.000
0.000 4.326 0.000
0.000 0.000 3.437
Ta Nb Ru
1 1 2
Direct
0.000 0.000 0.000
0.500 0.500 0.000
0.000 0.500 0.500
0.500 0.000 0.500